Record 1
## SbPtW2 (PBE)

Data for an optimized crystal structure of SbPtW2.

abc: 2.867 4.370 5.658
angles: 90.00 102.09 90.00
Fractional positions:
Sb 0.000 0.000 0.000
Pt 0.886 0.500 0.734
W 0.305 0.000 0.496
W 0.581 0.500 0.253

=====

Record 2
## Nd3HoTm2Bi6 (PBE)

Data for an optimized crystal structure of Nd3HoTm2Bi6.

abc: 10.112 10.112 9.045
angles: 102.72 102.72 25.88
Fractional positions:
Nd 0.000 0.000 0.000
Nd 0.334 0.334 0.667
Nd 0.666 0.666 0.333
Ho 0.000 0.000 0.500
Tm 0.333 0.333 0.167
Tm 0.667 0.667 0.833
Bi 0.165 0.165 0.590
Bi 0.169 0.169 0.076
Bi 0.497 0.497 0.255
Bi 0.503 0.503 0.745
Bi 0.831 0.831 0.924
Bi 0.835 0.835 0.410

Properties
- formation energy from the elements (meV/atom) = -871

=====

Record 3
## Li2CeZn3 (PBE)

Data for an optimized crystal structure of Li2CeZn3.

abc: 6.725 6.725 5.040
angles: 90.00 90.00 88.26
Fractional positions:
Li 0.237 0.237 0.000
Li 0.237 0.237 0.500
Li 0.763 0.763 0.000
Li 0.763 0.763 0.500
Ce 0.275 0.725 0.750
Ce 0.725 0.275 0.250
Zn 0.060 0.940 0.250
Zn 0.081 0.554 0.250
Zn 0.446 0.919 0.250
Zn 0.554 0.081 0.750
Zn 0.919 0.446 0.750
Zn 0.940 0.060 0.750

Properties
- formation energy from the elements (meV/atom) = -134

=====

| no. | final energy (eV/atom) |
| --- | --- |
| 1 | -8.68 |
| 2 | -5.13 |
| 3 | -2.40 |